(1)
{
  "formula": "Ti2CrHgGe",
  "functional": "GGA-PBE",
  "state": "optimized geometry",
  "dft_energy_ev_per_atom": -5.39,
  "lattice_angstrom": [[4.420, 0.000, 0.000], [0.000, 4.420, 0.000], [0.000, 0.000, 5.097]],
  "species": ["Ti", "Ti", "Cr", "Hg", "Ge"],
  "fractional_positions": [[0.000, 0.500, 0.000], [0.500, 0.000, 0.000], [0.000, 0.000, 0.000], [0.000, 0.000, 0.500], [0.500, 0.500, 0.500]]
}

(2)
{
  "formula": "ZrCr2HgGe",
  "functional": "GGA-PBE",
  "state": "optimized geometry",
  "dft_energy_ev_per_atom": -5.23,
  "lattice_angstrom": [[4.912, 0.000, 0.000], [0.000, 4.912, 0.000], [0.000, 0.000, 5.170]],
  "species": ["Zr", "Cr", "Cr", "Hg", "Ge"],
  "fractional_positions": [[0.000, 0.000, 0.000], [0.000, 0.500, 0.000], [0.500, 0.000, 0.000], [0.500, 0.500, 0.500], [0.000, 0.000, 0.500]]
}

ΔH_f (0 K) values (in kJ/mol of formula units) by entry order: 326 632.